1.
Crystalline PrTlBr4 at its relaxed geometry. Source: the Alexandria database, functional PBE.

Output
V = 36.67 A^3/atom
ΔE to the lowest computed polymorph = 5.0 kJ/mol of atoms
electronic total energy = -91.167 eV for the cell shown

Geometry as CIF:
```
data_PrTlBr4
_chemical_formula_sum 'Pr4 Tl4 Br16'
_space_group_name_H-M_alt 'C 1 2/c 1'
_space_group_IT_number 15
_cell_length_a 9.967
_cell_length_b 14.166
_cell_length_c 7.431
_cell_angle_alpha 90.00
_cell_angle_beta 122.98
_cell_angle_gamma 90.00
loop_
_space_group_symop_operation_xyz
'x,y,z'
'-x,-y,-z'
'-x,y,-z+1/2'
'x,-y,z+1/2'
'x+1/2,y+1/2,z'
'-x+1/2,-y+1/2,-z'
'-x+1/2,y+1/2,-z+1/2'
'x+1/2,-y+1/2,z+1/2'
loop_
_atom_site_label
_atom_site_type_symbol
_atom_site_fract_x
_atom_site_fract_y
_atom_site_fract_z
Pr1 Pr 0.000 0.004 0.250
Tl1 Tl 0.000 0.366 0.750
Br1 Br 0.105 0.161 0.068
Br2 Br 0.226 0.438 0.295
```


2.
Crystalline KScF4 at its relaxed geometry. Source: the Alexandria database, functional PBE.

Output
V = 13.98 A^3/atom
ΔE to the lowest computed polymorph = 14.1 kJ/mol of atoms
electronic total energy = -35.890 eV for the cell shown

Geometry as CIF:
```
data_KScF4
_chemical_formula_sum 'K1 Sc1 F4'
_space_group_name_H-M_alt 'P 4/m m m'
_space_group_IT_number 123
_space_group_name_Hall '-P 4 2'
_cell_length_a 3.666
_cell_length_b 3.666
_cell_length_c 6.243
_cell_angle_alpha 90.00
_cell_angle_beta 90.00
_cell_angle_gamma 90.00
loop_
_atom_site_label
_atom_site_type_symbol
_atom_site_fract_x
_atom_site_fract_y
_atom_site_fract_z
K1 K 0.000 0.000 0.000
Sc1 Sc 0.500 0.500 0.500
F1 F 0.000 0.500 0.307
```


3.
Crystalline AgGe5Te6 at its relaxed geometry. Source: the Alexandria database, functional PBE.

Output
V = 26.55 A^3/atom
electronic total energy = -91.134 eV for the cell shown

Geometry as CIF:
```
data_AgGe5Te6
_chemical_formula_sum 'Ag2 Ge10 Te12'
_space_group_name_H-M_alt 'C 1 2/m 1'
_space_group_IT_number 12
_cell_length_a 7.310
_cell_length_b 12.668
_cell_length_c 7.284
_cell_angle_alpha 90.00
_cell_angle_beta 109.16
_cell_angle_gamma 90.00
loop_
_space_group_symop_operation_xyz
'x,y,z'
'-x,-y,-z'
'-x,y,-z'
'x,-y,z'
'x+1/2,y+1/2,z'
'-x+1/2,-y+1/2,-z'
'-x+1/2,y+1/2,-z'
'x+1/2,-y+1/2,z'
loop_
_atom_site_label
_atom_site_type_symbol
_atom_site_fract_x
_atom_site_fract_y
_atom_site_fract_z
Ag1 Ag 0.000 0.000 0.000
Ge1 Ge 0.000 0.173 0.500
Ge2 Ge 0.000 0.337 0.000
Ge3 Ge 0.000 0.500 0.500
Te1 Te 0.249 0.333 0.748
Te2 Te 0.250 0.000 0.753
```


4.
Crystalline Si2Ag at its relaxed geometry. Source: the Alexandria database, functional PBE.

Output
V = 16.77 A^3/atom
ΔE to the lowest computed polymorph = 18.7 kJ/mol of atoms
electronic total energy = -48.686 eV for the cell shown

Geometry as CIF:
```
data_Si2Ag
_chemical_formula_sum 'Si8 Ag4'
_space_group_name_H-M_alt 'P 63/m m c'
_space_group_IT_number 194
_space_group_name_Hall '-P 6c 2c'
_cell_length_a 5.2235
_cell_length_b 5.2235
_cell_length_c 8.5182
_cell_angle_alpha 90.00
_cell_angle_beta 90.00
_cell_angle_gamma 120.00
loop_
_atom_site_label
_atom_site_type_symbol
_atom_site_fract_x
_atom_site_fract_y
_atom_site_fract_z
Si1 Si 0.0000 0.0000 0.0000
Si2 Si 0.1705 0.3410 0.2500
Ag1 Ag 0.3333 0.6667 0.5689
```


5.
Crystalline PaBiSb2 at its relaxed geometry. Source: the Alexandria database, functional PBE.

Output
V = 27.18 A^3/atom
ΔE to the lowest computed polymorph = 1.2 kJ/mol of atoms
electronic total energy = -22.510 eV for the cell shown

Geometry as CIF:
```
data_PaBiSb2
_chemical_formula_sum 'Pa1 Bi1 Sb2'
_space_group_name_H-M_alt 'P 4/m m m'
_space_group_IT_number 123
_space_group_name_Hall '-P 4 2'
_cell_length_a 5.077
_cell_length_b 5.077
_cell_length_c 4.218
_cell_angle_alpha 90.00
_cell_angle_beta 90.00
_cell_angle_gamma 90.00
loop_
_atom_site_label
_atom_site_type_symbol
_atom_site_fract_x
_atom_site_fract_y
_atom_site_fract_z
Pa1 Pa 0.000 0.000 0.000
Bi1 Bi 0.500 0.500 0.000
Sb1 Sb 0.000 0.500 0.500
```


6.
Crystalline Nd3MgAl at its relaxed geometry. Source: the Alexandria database, functional PBE.

Output
V = 32.41 A^3/atom
energy relative to the elements = 0.034 eV per atom
ΔE to the lowest computed polymorph = 19.9 kJ/mol of atoms
electronic total energy = -38.939 eV for the cell shown

Geometry as CIF:
```
data_Nd3MgAl
_chemical_formula_sum 'Nd6 Mg2 Al2'
_space_group_name_H-M_alt 'P m m n'
_space_group_IT_number 59
_cell_length_a 4.851
_cell_length_b 6.945
_cell_length_c 9.620
_cell_angle_alpha 90.00
_cell_angle_beta 90.00
_cell_angle_gamma 90.00
loop_
_space_group_symop_operation_xyz
'x,y,z'
'-x,-y,-z'
'-x+1/2,-y+1/2,z'
'x+1/2,y+1/2,-z'
'x+1/2,-y,-z'
'-x+1/2,y,z'
'-x,y+1/2,-z'
'x,-y+1/2,z'
loop_
_atom_site_label
_atom_site_type_symbol
_atom_site_fract_x
_atom_site_fract_y
_atom_site_fract_z
Nd1 Nd 0.250 0.010 0.235
Nd2 Nd 0.250 0.250 0.570
Mg1 Mg 0.250 0.250 0.927
Al1 Al 0.250 0.750 0.625
```


7.
Crystalline Rb2NaZnBr6 at its relaxed geometry. Source: the Alexandria database, functional PBE.

Output
V = 33.42 A^3/atom
electronic total energy = -105.095 eV for the cell shown

Geometry as CIF:
```
data_Rb2NaZnBr6
_chemical_formula_sum 'Rb8 Na4 Zn4 Br24'
_space_group_name_H-M_alt 'F m -3 m'
_space_group_IT_number 225
_space_group_name_Hall '-F 4 2 3'
_cell_length_a 11.016
_cell_length_b 11.016
_cell_length_c 11.016
_cell_angle_alpha 90.00
_cell_angle_beta 90.00
_cell_angle_gamma 90.00
loop_
_atom_site_label
_atom_site_type_symbol
_atom_site_fract_x
_atom_site_fract_y
_atom_site_fract_z
Rb1 Rb 0.250 0.250 0.250
Na1 Na 0.000 0.000 0.000
Zn1 Zn 0.000 0.000 0.500
Br1 Br 0.000 0.000 0.263
```


8.
Crystalline As2BrN at its relaxed geometry. Source: the Alexandria database, functional PBE.

Output
V = 21.83 A^3/atom
ΔE to the lowest computed polymorph = 0.0 kJ/mol of atoms
electronic total energy = -66.594 eV for the cell shown

Geometry as CIF:
```
data_As2BrN
_chemical_formula_sum 'As8 Br4 N4'
_space_group_name_H-M_alt 'I -4 2 d'
_space_group_IT_number 122
_space_group_name_Hall 'I -4 2bw'
_cell_length_a 5.238
_cell_length_b 5.238
_cell_length_c 12.730
_cell_angle_alpha 90.00
_cell_angle_beta 90.00
_cell_angle_gamma 90.00
loop_
_atom_site_label
_atom_site_type_symbol
_atom_site_fract_x
_atom_site_fract_y
_atom_site_fract_z
As1 As 0.090 0.250 0.125
Br1 Br 0.000 0.000 0.500
N1 N 0.000 0.000 0.000
```


9.
Crystalline Er3ScPb3 at its relaxed geometry. Source: the Alexandria database, functional PBE.

Output
V = 31.41 A^3/atom
energy relative to the elements = -0.213 eV per atom
electronic total energy = -130.551 eV for the cell shown

Geometry as CIF:
```
data_Er3ScPb3
_chemical_formula_sum 'Er12 Sc4 Pb12'
_space_group_name_H-M_alt 'C 1 2/m 1'
_space_group_IT_number 12
_cell_length_a 9.169
_cell_length_b 14.066
_cell_length_c 6.825
_cell_angle_alpha 90.00
_cell_angle_beta 92.34
_cell_angle_gamma 90.00
loop_
_space_group_symop_operation_xyz
'x,y,z'
'-x,-y,-z'
'-x,y,-z'
'x,-y,z'
'x+1/2,y+1/2,z'
'-x+1/2,-y+1/2,-z'
'-x+1/2,y+1/2,-z'
'x+1/2,-y+1/2,z'
loop_
_atom_site_label
_atom_site_type_symbol
_atom_site_fract_x
_atom_site_fract_y
_atom_site_fract_z
Er1 Er 0.000 0.156 0.000
Er2 Er 0.000 0.197 0.500
Er3 Er 0.066 0.500 0.767
Sc1 Sc 0.203 0.000 0.718
Pb1 Pb 0.113 0.000 0.285
Pb2 Pb 0.177 0.318 0.210
```


10.
Crystalline Ba2Se2I at its relaxed geometry. Source: the Alexandria database, functional PBE.

Output
V = 37.24 A^3/atom
ΔE to the lowest computed polymorph = 0.0 kJ/mol of atoms
electronic total energy = -40.673 eV for the cell shown

Geometry as CIF:
```
data_Ba2Se2I
_chemical_formula_sum 'Ba4 Se4 I2'
_space_group_name_H-M_alt 'P 4/m b m'
_space_group_IT_number 127
_space_group_name_Hall '-P 4 2ab'
_cell_length_a 9.187
_cell_length_b 9.187
_cell_length_c 4.411
_cell_angle_alpha 90.00
_cell_angle_beta 90.00
_cell_angle_gamma 90.00
loop_
_atom_site_label
_atom_site_type_symbol
_atom_site_fract_x
_atom_site_fract_y
_atom_site_fract_z
Ba1 Ba 0.166 0.334 0.000
Se1 Se 0.115 0.615 0.500
I1 I 0.000 0.000 0.000
```